# 1
Mg2CrAu: relaxed, PBE.

Lattice parameters (Å, degrees): 4.202 4.202 4.039 90.00 90.00 90.00
Atoms (fractional coordinates):
Mg 0.000 0.500 0.000
Mg 0.500 0.000 0.000
Cr 0.000 0.000 0.500
Au 0.500 0.500 0.500

## Properties
size of the total moment = 3.73 μB/cell
DFT total energy = -4.0997 eV/atom
space-group type = P4/mmm, No. 123


# 2
RbBaTl4Sb2: relaxed, PBE.

Lattice parameters (Å, degrees): 4.820 4.820 13.483 90.00 90.00 90.00
Atoms (fractional coordinates):
Rb 0.000 0.000 0.000
Ba 0.000 0.000 0.500
Tl 0.000 0.500 0.227
Tl 0.000 0.500 0.773
Tl 0.500 0.000 0.227
Tl 0.500 0.000 0.773
Sb 0.500 0.500 0.388
Sb 0.500 0.500 0.612

## Properties
formation energy (no corrections) = -0.333 eV per atom
size of the total moment = 0.00 μB/cell
DFT total energy = -2.9080 eV/atom
space-group type = P4/mmm, No. 123


# 3
Rb2TcIBr5: relaxed, PBE.

Lattice parameters (Å, degrees): 7.724 7.724 7.724 119.73 119.73 90.47
Atoms (fractional coordinates):
Rb 0.000 0.500 0.500
Rb 0.500 0.000 0.500
Tc 0.249 0.249 0.000
I 0.501 0.501 0.000
Br 0.015 0.015 0.000
Br 0.019 0.019 0.537
Br 0.019 0.482 0.000
Br 0.482 0.019 0.000
Br 0.482 0.482 0.463

## Properties
formation energy (no corrections) = -1.002 eV per atom
size of the total moment = 3.01 μB/cell
DFT total energy = -3.4704 eV/atom
space-group type = I4mm, No. 107


# 4
Mn2VB: relaxed, PBE.

Lattice parameters (Å, degrees): 7.213 7.213 7.213 21.69 21.69 21.69
Atoms (fractional coordinates):
Mn 0.107 0.107 0.107
Mn 0.893 0.893 0.893
V 0.000 0.000 0.000
B 0.500 0.500 0.500

## Properties
size of the total moment = 2.29 μB/cell
DFT total energy = -8.2676 eV/atom
space-group type = R-3m, No. 166


# 5
Li2La4In: relaxed, PBE.

Lattice parameters (Å, degrees): 6.783 9.650 6.740 90.00 109.87 90.00
Atoms (fractional coordinates):
Li 0.158 0.003 0.161
Li 0.158 0.497 0.661
Li 0.842 0.503 0.339
Li 0.842 0.997 0.839
La 0.121 0.168 0.630
La 0.121 0.332 0.130
La 0.376 0.665 0.381
La 0.376 0.835 0.881
La 0.624 0.165 0.119
La 0.624 0.335 0.619
La 0.879 0.668 0.870
La 0.879 0.832 0.370
In 0.500 0.000 0.500
In 0.500 0.500 0.000

## Properties
size of the total moment = 0.00 μB/cell
DFT total energy = -3.8611 eV/atom
space-group type = P2_1/c, No. 14


# 6
PrCuSi2Rh: relaxed, PBE.

Lattice parameters (Å, degrees): 5.800 5.800 5.800 138.13 138.13 60.71
Atoms (fractional coordinates):
Pr 0.000 0.000 0.000
Cu 0.250 0.750 0.500
Si 0.377 0.377 0.000
Si 0.623 0.623 0.000
Rh 0.750 0.250 0.500

## Properties
formation energy (no corrections) = -0.773 eV per atom
size of the total moment = 0.00 μB/cell
DFT total energy = -6.1880 eV/atom
space-group type = I-4m2, No. 119


# 7
CePm2Pa2Ru5: relaxed, PBE.

Lattice parameters (Å, degrees): 10.685 10.685 3.704 90.00 90.00 90.00
Atoms (fractional coordinates):
Ce 0.000 0.000 0.000
Ce 0.500 0.500 0.000
Pm 0.174 0.326 0.000
Pm 0.326 0.826 0.000
Pm 0.674 0.174 0.000
Pm 0.826 0.674 0.000
Pa 0.135 0.635 0.000
Pa 0.365 0.135 0.000
Pa 0.635 0.865 0.000
Pa 0.865 0.365 0.000
Ru 0.000 0.500 0.500
Ru 0.056 0.798 0.500
Ru 0.202 0.056 0.500
Ru 0.298 0.556 0.500
Ru 0.444 0.298 0.500
Ru 0.500 0.000 0.500
Ru 0.556 0.702 0.500
Ru 0.702 0.444 0.500
Ru 0.798 0.944 0.500
Ru 0.944 0.202 0.500

## Properties
size of the total moment = 0.00 μB/cell
DFT total energy = -8.3899 eV/atom
space-group type = P4/mbm, No. 127


# 8
AgHRh2: relaxed, PBE.

Lattice parameters (Å, degrees): 7.224 7.224 7.224 22.48 22.48 22.48
Atoms (fractional coordinates):
Ag 0.000 0.000 0.000
H 0.500 0.500 0.500
Rh 0.221 0.221 0.221
Rh 0.779 0.779 0.779

## Properties
relative energy among the computed polymorphs = 0 kJ/mol of formula units
size of the total moment = 0.76 μB/cell
DFT total energy = -5.0960 eV/atom
space-group type = R-3m, No. 166


# 9
SrMo2Os: relaxed, PBE.

Lattice parameters (Å, degrees): 5.243 5.243 5.567 103.26 103.26 35.48
Atoms (fractional coordinates):
Sr 0.000 0.000 0.000
Mo 0.210 0.210 0.638
Mo 0.790 0.790 0.362
Os 0.500 0.500 0.500

## Properties
relative energy among the computed polymorphs = 14 kJ/mol of formula units
size of the total moment = 0.00 μB/cell
DFT total energy = -7.9839 eV/atom
space-group type = C2/m, No. 12


# 10
NaAg2HF4: relaxed, PBE.

Lattice parameters (Å, degrees): 6.505 4.722 6.302 70.68 43.24 66.08
Atoms (fractional coordinates):
Na 0.000 0.000 0.000
Ag 0.264 0.264 0.236
Ag 0.764 0.764 0.736
H 0.342 0.342 0.658
F 0.143 0.509 0.857
F 0.219 0.810 0.190
F 0.509 0.143 0.491
F 0.810 0.219 0.781

## Properties
size of the total moment = 0.00 μB/cell
DFT total energy = -3.8010 eV/atom
space-group type = Fmm2, No. 42


# 11
Tl7HgPb2: relaxed, PBE.

Lattice parameters (Å, degrees): 5.446 5.446 13.149 90.00 90.00 120.00
Atoms (fractional coordinates):
Tl 0.000 0.000 0.000
Tl 0.000 0.000 0.256
Tl 0.000 0.000 0.742
Tl 0.333 0.667 0.437
Tl 0.333 0.667 0.923
Tl 0.667 0.333 0.118
Tl 0.667 0.333 0.593
Hg 0.333 0.667 0.190
Pb 0.000 0.000 0.499
Pb 0.667 0.333 0.848

## Properties
relative energy among the computed polymorphs = 7 kJ/mol of formula units
size of the total moment = 0.00 μB/cell
DFT total energy = -2.3664 eV/atom
space-group type = P3m1, No. 156


# 12
K4Ce3ZnO8: relaxed, PBE.

Lattice parameters (Å, degrees): 7.158 7.158 7.435 118.02 118.02 58.55
Atoms (fractional coordinates):
K 0.000 0.000 0.000
K 0.000 0.500 0.000
K 0.500 0.000 0.000
K 0.500 0.500 0.000
Ce 0.000 0.000 0.500
Ce 0.000 0.500 0.500
Ce 0.500 0.000 0.500
Zn 0.500 0.500 0.500
O 0.227 0.227 0.691
O 0.237 0.716 0.679
O 0.249 0.249 0.295
O 0.284 0.763 0.321
O 0.716 0.237 0.679
O 0.751 0.751 0.705
O 0.763 0.284 0.321
O 0.773 0.773 0.309

## Properties
formation energy (no corrections) = -2.344 eV per atom
size of the total moment = 1.99 μB/cell
DFT total energy = -6.2897 eV/atom
space-group type = C2/m, No. 12


- Which formula does entry 1 have?
  Mg2CrAu


- The highest DFT total energy belongs to which entry?
  Tl7HgPb2


- Among the records above, which one has the highest DFT total energy?
  Tl7HgPb2


- Number 4 is which compound?
  Mn2VB